First-principles (PBE-GGA) data for a relaxed Pu4In2H crystal, as listed in Alexandria via LeMat-Bulk.

a = 4.7135 Å, b = 4.7135 Å, c = 16.0288 Å
α = 90.00°, β = 90.00°, γ = 90.00°
Last column: nearest neighbours and their distance in Å.
Space group I4/mmm (No. 139)
Inequivalent atoms, fractional coordinates:
1 Pu 0.0000 0.0000 0.1630 (multiplicity 4)  1 H 2.61
2 Pu 0.0000 0.5000 0.0000 (multiplicity 4)  2 H 2.36
3 In 0.0000 0.0000 0.3616 (multiplicity 4)  9 Pu 3.18-3.36
4 H 0.0000 0.0000 0.0000 (multiplicity 2)  6 Pu 2.36-2.61

Computed properties:
- total magnetization (μB/cell) = 48.276
- crystal system = tetragonal
- calculated total energy (eV/atom) = -9.434